Below is TiCrSe after structural relaxation, with properties calculated at the PBE-GGA level.

Cell: 7.9983 3.2906 10.1566 Å, 90.00 111.03 90.00°
Last column: nearest neighbours and their distance in Å.
Space group Cm (No. 8)
Asymmetric unit:
Ti 0.0000 0.0000 0.0000 [2 per cell]  2 Cr 2.32-2.60
Ti 0.1552 0.5000 0.8400 [2 per cell]  3 Se 2.56-2.62, 1 Ti 2.65
Cr 0.0980 0.0000 0.2729 [2 per cell]  3 Se 2.44-2.50, 1 Ti 2.60
Cr 0.3109 0.0000 0.0882 [2 per cell]  1 Ti 2.32, 1 Se 2.53
Se 0.3992 0.5000 0.7235 [2 per cell]  4 Ti 2.56-2.63
Se 0.4330 0.0000 0.3554 [2 per cell]  4 Cr 2.44-2.53

- crystal system = monoclinic
- calculated total energy (eV per atom) = -7.0932
- formation energy from raw total energies (eV per formula unit) = -0.277

Below is TiCr2Se after structural relaxation, with properties calculated at the PBE-GGA level.

Cell: 7.2201 7.2201 5.1906 Å, 90.00 90.00 90.00°
Last column: nearest neighbours and their distance in Å.
Space group I-42d (No. 122)
Asymmetric unit:
Ti 0.0000 0.0000 0.0000 [4 per cell]  2 Se 2.60, 4 Cr 2.88
Cr 0.2025 0.7500 0.6250 [8 per cell]  2 Se 2.41, 2 Cr 2.68
Se 0.0000 0.0000 0.5000 [4 per cell]  4 Cr 2.41, 2 Ti 2.60

- crystal system = tetragonal
- calculated total energy (eV per atom) = -7.2328
- formation energy from raw total energies (eV per formula unit) = 1.695

Below is Ti3CrSe after structural relaxation, with properties calculated at the PBE-GGA level.

Cell: 4.5244 4.5244 4.5244 Å, 90.00 90.00 90.00°
Last column: nearest neighbours and their distance in Å.
Space group Pm-3m (No. 221)
Asymmetric unit:
Ti 0.0000 0.0000 0.5000 [3 per cell]  2 Cr 2.26
Cr 0.0000 0.0000 0.0000 [1 per cell]  6 Ti 2.26
Se 0.5000 0.5000 0.5000 [1 per cell]  12 Ti 3.20

- crystal system = cubic
- calculated total energy (eV per atom) = -6.9316
- energy above the lowest structure with this stoichiometry (meV/atom) = 0.0
- formation energy from raw total energies (eV per formula unit) = 2.135

Below is TiCrSe2 after structural relaxation, with properties calculated at the PBE-GGA level.

Cell: 3.1296 3.1296 25.1618 Å, 90.00 90.00 120.00°
Last column: nearest neighbours and their distance in Å.
Space group R-3m (No. 166, hexagonal axes)
Asymmetric unit:
Ti 0.0000 0.0000 0.0000 [3 per cell]  2 Se 2.56
Cr 0.0000 0.0000 0.5000 [3 per cell]  6 Se 2.44
Se 0.0000 0.0000 0.1018 [6 per cell]  3 Cr 2.44, 1 Ti 2.56

- crystal system = trigonal
- calculated total energy (eV per atom) = -6.2255
- energy above the lowest structure with this stoichiometry (meV/atom) = 355.0
- formation energy from raw total energies (eV per formula unit) = -0.415

Below is TiCrSe2 after structural relaxation, with properties calculated at the PBE-GGA level.

Cell: 5.9200 5.9200 11.5052 Å, 90.00 90.00 90.00°
Last column: nearest neighbours and their distance in Å.
Space group I-42d (No. 122)
Asymmetric unit:
Ti 0.0000 0.0000 0.0000 [4 per cell]  4 Se 2.52
Cr 0.0000 0.0000 0.5000 [4 per cell]  4 Se 2.56
Se 0.2455 0.2500 0.1250 [8 per cell]  2 Ti 2.52, 2 Cr 2.56

- crystal system = tetragonal
- calculated total energy (eV per atom) = -6.5806
- energy above the lowest structure with this stoichiometry (meV/atom) = 0.0
- formation energy from raw total energies (eV per formula unit) = -1.835

Below is TiCrSe2 after structural relaxation, with properties calculated at the PBE-GGA level.

Cell: 3.5420 3.5420 24.3689 Å, 90.00 90.00 120.00°
Last column: nearest neighbours and their distance in Å.
Space group R-3m (No. 166, hexagonal axes)
Asymmetric unit:
Ti 0.0000 0.0000 0.0000 [3 per cell]  6 Se 2.57
Cr 0.0000 0.0000 0.5000 [3 per cell]  2 Se 2.50
Se 0.0000 0.0000 0.3975 [6 per cell]  1 Cr 2.50, 3 Ti 2.57

- crystal system = trigonal
- calculated total energy (eV per atom) = -6.5617
- energy above the lowest structure with this stoichiometry (meV/atom) = 18.9
- formation energy from raw total energies (eV per formula unit) = -1.760

Repeat the fourth record exactly.
Below is TiCrSe2 after structural relaxation, with properties calculated at the PBE-GGA level.

Cell: 3.1296 3.1296 25.1618 Å, 90.00 90.00 120.00°
Last column: nearest neighbours and their distance in Å.
Space group R-3m (No. 166, hexagonal axes)
Asymmetric unit:
Ti 0.0000 0.0000 0.0000 [3 per cell]  2 Se 2.56
Cr 0.0000 0.0000 0.5000 [3 per cell]  6 Se 2.44
Se 0.0000 0.0000 0.1018 [6 per cell]  3 Cr 2.44, 1 Ti 2.56

- crystal system = trigonal
- calculated total energy (eV per atom) = -6.2255
- energy above the lowest structure with this stoichiometry (meV/atom) = 355.0
- formation energy from raw total energies (eV per formula unit) = -0.415

Please write out number 5 again, unchanged.
Below is TiCrSe2 after structural relaxation, with properties calculated at the PBE-GGA level.

Cell: 5.9200 5.9200 11.5052 Å, 90.00 90.00 90.00°
Last column: nearest neighbours and their distance in Å.
Space group I-42d (No. 122)
Asymmetric unit:
Ti 0.0000 0.0000 0.0000 [4 per cell]  4 Se 2.52
Cr 0.0000 0.0000 0.5000 [4 per cell]  4 Se 2.56
Se 0.2455 0.2500 0.1250 [8 per cell]  2 Ti 2.52, 2 Cr 2.56

- crystal system = tetragonal
- calculated total energy (eV per atom) = -6.5806
- energy above the lowest structure with this stoichiometry (meV/atom) = 0.0
- formation energy from raw total energies (eV per formula unit) = -1.835

- What is the calculated total energy in the first record?
  -7.0932 eV per atom

- Number 5 is which compound?
  TiCrSe2